Here is crystalline PaGa3Pt at its relaxed geometry from Alexandria via LeMat-Bulk. Energies are from PBE-GGA.

Calculated values
DOS at the Fermi energy	0.931	states/eV/atom
energy of formation from the pure elements	-0.523	eV per atom
relative energy among the computed polymorphs	48	meV per atom

Structure (extended XYZ):
```
10
Lattice="2.120 -12.006 0.000 2.120 12.006 0.000 0.000 0.000 3.865" Properties=species:S:1:pos:R:3 pbc="T T T"
Pa 2.120 8.022 0.000
Pa 2.120 -8.022 0.000
Ga 2.120 10.719 1.932
Ga 2.120 5.416 1.932
Ga 2.120 1.238 0.000
Ga 2.120 -1.238 0.000
Ga 2.120 -5.416 1.932
Ga 2.120 -10.719 1.932
Pt 2.120 2.935 1.932
Pt 2.120 -2.935 1.932
```